VASP calculation (PBE-GGA) on a relaxed structure of LiV3Ru.

Summary:
Its energy above the lowest structure with this stoichiometry is 0.000 eV/atom. The formation energy is 0.997 eV/atom. The volume is 19.2 Å³/atom. The total moment is 0.7 Bohr magnetons per cell.

abc: 4.5757 4.5757 4.5757
angles: 90.00 90.00 90.00
With the nearest neighbours (Å) after each atom.
Element x y z (fractional)
V: 0.0000 0.0000 0.5000  2 Ru 2.29
Ru: 0.0000 0.0000 0.0000  6 V 2.29
Li: 0.5000 0.5000 0.5000  12 V 3.24
V: 0.0000 0.5000 0.0000  2 Ru 2.29
V: 0.5000 0.0000 0.0000  2 Ru 2.29